# Tc2MoAu meta-GGA SCAN single point on PBEsol structure
# * magnetic moment: 0.0 μB/f.u.
data_Tc2MoAu
_chemical_formula_sum 'Tc8 Mo4 Au4'
_space_group_name_H-M_alt 'F -4 3 m'
_space_group_IT_number 216
_space_group_name_Hall 'F -4 2 3'
_cell_length_a 6.230
_cell_length_b 6.230
_cell_length_c 6.230
_cell_angle_alpha 90.00
_cell_angle_beta 90.00
_cell_angle_gamma 90.00
loop_
_atom_site_label
_atom_site_type_symbol
_atom_site_fract_x
_atom_site_fract_y
_atom_site_fract_z
Tc1 Tc 0.000 0.000 0.000
Tc2 Tc 0.250 0.250 0.250
Mo1 Mo 0.250 0.250 0.750
Au1 Au 0.000 0.000 0.500

=====

# TcMo2Au meta-GGA SCAN single point on PBEsol structure
# * magnetic moment: 0.0 μB/f.u.
data_TcMo2Au
_chemical_formula_sum 'Tc3 Mo6 Au3'
_space_group_name_H-M_alt 'R -3 m'
_space_group_IT_number 166
_space_group_name_Hall '-R 3 2"'
_cell_length_a 2.7709
_cell_length_b 2.7709
_cell_length_c 27.6651
_cell_angle_alpha 90.00
_cell_angle_beta 90.00
_cell_angle_gamma 120.00
loop_
_atom_site_label
_atom_site_type_symbol
_atom_site_fract_x
_atom_site_fract_y
_atom_site_fract_z
Tc1 Tc 0.0000 0.0000 0.0000
Mo1 Mo 0.0000 0.0000 0.2543
Au1 Au 0.0000 0.0000 0.5000

=====

# Tc2MoAu meta-GGA SCAN single point on PBEsol structure
# * magnetic moment: 0.0 μB/f.u.
data_Tc2MoAu
_chemical_formula_sum 'Tc2 Mo1 Au1'
_space_group_name_H-M_alt 'P m m 2'
_space_group_IT_number 25
_space_group_name_Hall 'P 2 -2'
_cell_length_a 2.782
_cell_length_b 3.884
_cell_length_c 5.555
_cell_angle_alpha 90.00
_cell_angle_beta 90.00
_cell_angle_gamma 90.00
loop_
_atom_site_label
_atom_site_type_symbol
_atom_site_fract_x
_atom_site_fract_y
_atom_site_fract_z
Tc1 Tc 0.000 0.000 0.000
Tc2 Tc 0.500 0.500 0.210
Mo1 Mo 0.500 0.500 0.766
Au1 Au 0.000 0.000 0.492

=====

ΔH_f (0 K) for the records above, in order: 0.4298; 0.2458; 0.0867 eV/atom